Compound: Sm3SbAsN
Source: the Alexandria database
Functional: GGA-PBE
Structure: relaxed

abc: 8.916 4.208 9.386
angles: 90.00 100.16 90.00
Fractional coordinates of all 12 atoms:
Sm (0.089, 0.250, 0.353)
Sm (0.344, 0.250, 0.990)
Sm (0.386, 0.750, 0.665)
Sm (0.614, 0.250, 0.335)
Sm (0.656, 0.750, 0.010)
Sm (0.911, 0.750, 0.647)
Sb (0.328, 0.750, 0.289)
Sb (0.672, 0.250, 0.711)
As (0.147, 0.250, 0.664)
As (0.853, 0.750, 0.336)
N (0.409, 0.750, 0.903)
N (0.591, 0.250, 0.097)

ΔE_f (raw) = -1.2679 eV/atom
Crystal system = monoclinic
Size of the total moment = 0.00 μB/atom

=====

Compound: HgRh2
Source: the Alexandria database
Functional: GGA-PBE
Structure: relaxed

abc: 6.491 6.491 4.049
angles: 90.00 90.00 144.89
Fractional coordinates of all 6 atoms:
Hg (0.086, 0.914, 0.750)
Hg (0.914, 0.086, 0.250)
Rh (0.250, 0.750, 0.250)
Rh (0.408, 0.592, 0.750)
Rh (0.592, 0.408, 0.250)
Rh (0.750, 0.250, 0.750)

Crystal system = orthorhombic
Size of the total moment = 0.42 μB/atom
ΔE_f = 0.224 eV per atom

=====

Compound: DyZn2Rh2
Source: the Alexandria database
Functional: GGA-PBE
Structure: relaxed

abc: 9.556 8.710 5.221
angles: 82.54 64.66 32.80
Fractional coordinates of all 10 atoms:
Dy (0.125, 0.125, 0.125)
Dy (0.875, 0.875, 0.875)
Zn (0.252, 0.252, 0.498)
Zn (0.498, 0.498, 0.252)
Zn (0.502, 0.502, 0.748)
Zn (0.748, 0.748, 0.502)
Rh (0.209, 0.541, 0.209)
Rh (0.459, 0.791, 0.459)
Rh (0.541, 0.209, 0.541)
Rh (0.791, 0.459, 0.791)

Crystal system = orthorhombic
E above lowest polymorph = 0.173 eV per atom
Size of the total moment = 0.00 μB/atom
ΔE_f = -0.371 eV per atom

=====

Compound: LiSmCu2P2
Source: the Alexandria database
Functional: GGA-PBE
Structure: relaxed

abc: 4.013 4.013 6.687
angles: 90.00 90.00 120.00
Fractional coordinates of all 6 atoms:
Li (0.000, 0.000, 0.000)
Sm (0.000, 0.000, 0.500)
Cu (0.333, 0.667, 0.165)
Cu (0.667, 0.333, 0.835)
P (0.333, 0.667, 0.768)
P (0.667, 0.333, 0.232)

Crystal system = trigonal
Size of the total moment = 0.00 μB/atom
ΔE_f = -0.802 eV per atom

=====

Compound: Sm3Sc4Al4
Source: the Alexandria database
Functional: GGA-PBE
Structure: relaxed

abc: 9.016 9.016 9.016
angles: 148.59 134.08 56.70
Fractional coordinates of all 11 atoms:
Sm (0.000, 0.000, 0.000)
Sm (0.386, 0.886, 0.500)
Sm (0.614, 0.114, 0.500)
Sc (0.038, 0.323, 0.715)
Sc (0.393, 0.677, 0.715)
Sc (0.607, 0.323, 0.285)
Sc (0.962, 0.677, 0.285)
Al (0.195, 0.195, 0.000)
Al (0.308, 0.500, 0.808)
Al (0.692, 0.500, 0.192)
Al (0.805, 0.805, 0.000)

Crystal system = orthorhombic
Size of the total moment = 0.00 μB/atom
ΔE_f = -0.248 eV per atom

=====

Compound: NdInHg3
Source: the Alexandria database
Functional: GGA-PBE
Structure: relaxed

abc: 5.631 5.631 5.631
angles: 105.07 105.07 105.07
Fractional coordinates of all 5 atoms:
Nd (0.000, 0.000, 0.000)
In (0.513, 0.513, 0.513)
Hg (0.482, 0.482, 0.995)
Hg (0.482, 0.995, 0.482)
Hg (0.995, 0.482, 0.482)

Crystal system = trigonal
E above lowest polymorph = 0.353 eV per atom
Size of the total moment = 0.00 μB/atom
ΔE_f = 0.033 eV per atom

=====

Compound: AlAu3F
Source: the Alexandria database
Functional: GGA-PBE
Structure: relaxed

abc: 4.604 4.604 4.604
angles: 90.00 90.00 90.00
Fractional coordinates of all 5 atoms:
Al (0.000, 0.000, 0.000)
Au (0.000, 0.500, 0.500)
Au (0.500, 0.000, 0.500)
Au (0.500, 0.500, 0.000)
F (0.500, 0.500, 0.500)

ΔE_f (raw) = 0.3323 eV/atom
Crystal system = cubic
E above lowest polymorph = 0.111 eV per atom
Size of the total moment = 0.00 μB/atom

=====

Which formula does entry 4 have? LiSmCu2P2